VASP calculation (PBE) on crystalline PmSmTm5 at its relaxed geometry.

Cell: 6.1403 7.9690 7.6738 Å, 121.28 113.58 90.00°
Last column: nearest neighbours and their distance in Å.
Element x y z (fractional)
Pm  0.9397  0.0000  0.0000  2 Tm 2.98
Sm  0.6971  0.5000  0.0000  4 Tm 2.91-3.23
Tm  0.1831  0.2569  0.5139  1 Pm 2.98, 1 Tm 3.22, 1 Sm 3.27
Tm  0.1716  0.5000  0.0000  2 Sm 2.91-3.23, 4 Tm 3.02-3.22
Tm  0.6692  0.7431  0.4861  1 Pm 2.98, 1 Tm 3.22, 1 Sm 3.27
Tm  0.4350  0.8194  0.0000  2 Tm 2.88-3.02, 1 Sm 3.01
Tm  0.4350  0.1806  0.0000  2 Tm 2.88-3.02, 1 Sm 3.01

Results
SG: Imm2, No. 44
Calculated formation energy: 6.992 eV/f.u.



VASP calculation (PBE) on crystalline SbTe2W at its relaxed geometry.

Cell: 4.5387 2.9981 7.9004 Å, 111.06 90.00 90.00°
Last column: nearest neighbours and their distance in Å.
Element x y z (fractional)
Sb  0.5000  0.7500  0.7500  2 Sb 3.00, 4 Te 3.18
Te  0.0000  0.2665  0.0355  2 W 2.84, 2 Te 3.00, 2 Sb 3.18
Te  0.0000  0.2335  0.4645  2 W 2.84, 2 Te 3.00, 2 Sb 3.18
W  0.5000  0.2500  0.2500  4 Te 2.84, 2 W 3.00

Results
SG: P2/m, No. 10
Uncorrected formation energy: 0.721 eV per atom



VASP calculation (PBE) on crystalline MnCrCuAu at its relaxed geometry.

Cell: 3.0671 3.3205 5.6609 Å, 90.00 90.00 90.00°
Last column: nearest neighbours and their distance in Å.
Element x y z (fractional)
Cr  0.4887  0.5000  0.3674  4 Mn 2.58, 4 Cu 2.65, 2 Au 2.82-2.84
Mn  0.9890  0.0000  0.1483  4 Cr 2.58, 1 Cu 2.62, 4 Au 2.77
Au  0.4888  0.5000  0.8663  4 Cu 2.68, 4 Mn 2.77, 2 Cr 2.82-2.84
Cu  0.9884  0.0000  0.6120  1 Mn 2.62, 4 Cr 2.65, 4 Au 2.68

Results
SG: Pmm2, No. 25
Calculated formation energy: 0.299 eV/f.u.



VASP calculation (PBE) on crystalline SnTe2BrN at its relaxed geometry.

Cell: 6.0547 6.0547 3.6994 Å, 90.00 90.00 90.00°
Last column: nearest neighbours and their distance in Å.
Element x y z (fractional)
Te  0.0000  0.5000  0.0000  2 Br 3.03
Te  0.5000  0.0000  0.0000  2 Br 3.03
Sn  0.5000  0.5000  0.5000  8 Te 3.55, 2 Sn 3.70
Br  0.0000  0.0000  0.0000  2 N 1.85
N  0.0000  0.0000  0.5000  2 Br 1.85

Results
SG: P4/mmm, No. 123
Uncorrected formation energy: 1.145 eV per atom



Results for DFT total energy: -3.5479 -5.1190 -6.4669 -2.9117 (in eV per atom, following the order of the records).